1.
The following is a DFT calculation (GGA-PBE) of a geometry-optimized LaGa2Fe2 structure.

Computed properties:
- DFT formation energy (eV per atom) = -0.010

Lattice parameters (Å, degrees): 7.265 7.265 2.972 90.00 90.00 90.00
Fractional coordinates of all 10 atoms:
Fe1 0.345 0.845 0.000
Fe2 0.845 0.655 0.000
Fe3 0.655 0.155 0.000
Fe4 0.155 0.345 0.000
Ga1 0.134 0.634 0.500
Ga2 0.634 0.866 0.500
Ga3 0.866 0.366 0.500
Ga4 0.366 0.134 0.500
La1 0.000 0.000 0.000
La2 0.500 0.500 0.000

=====

2.
The following is a DFT calculation (GGA-PBE) of a geometry-optimized LaGa7Fe5 structure.

Computed properties:
- DFT formation energy (eV per atom) = -0.266

Lattice parameters (Å, degrees): 5.073 6.717 6.717 81.90 67.81 67.81
Site moments in Bohr magnetons follow the coordinates.
Fractional coordinates of all 13 atoms:
La1 0.003 0.997 0.997  -0.08
Ga1 0.657 0.343 0.343  -0.03
Ga2 0.339 0.661 0.661  -0.04
Ga3 0.991 0.353 0.665  -0.05
Ga4 0.991 0.665 0.353  -0.05
Ga5 0.267 0.233 0.233  -0.05
Ga6 0.506 0.781 0.206  -0.05
Ga7 0.506 0.206 0.781  -0.05
Fe1 0.496 0.000 0.501  1.97
Fe2 0.002 0.000 0.501  1.97
Fe3 0.496 0.501 0.000  1.97
Fe4 0.002 0.501 0.000  1.97
Fe5 0.743 0.757 0.757  2.38

=====

3.
The following is a DFT calculation (GGA-PBE) of a geometry-optimized LaGa2Fe2 structure.

Computed properties:
- DFT formation energy (eV per atom) = 0.039

Lattice parameters (Å, degrees): 7.716 7.716 2.788 90.00 90.00 90.00
Site moments in Bohr magnetons follow the coordinates.
Fractional coordinates of all 10 atoms:
Fe1 0.169 0.669 0.500  1.88
Fe2 0.669 0.831 0.500  1.91
Fe3 0.831 0.331 0.500  1.88
Fe4 0.331 0.169 0.500  1.91
Ga1 0.377 0.877 0.000  -0.10
Ga2 0.877 0.623 0.000  -0.10
Ga3 0.623 0.123 0.000  -0.10
Ga4 0.123 0.377 0.000  -0.10
La1 0.000 0.000 0.000  -0.30
La2 0.500 0.500 0.000  -0.30

=====

4.
The following is a DFT calculation (GGA-PBE) of a geometry-optimized La6GaFe2 structure.

Computed properties:
- DFT formation energy (eV per atom) = -0.080

Lattice parameters (Å, degrees): 8.749 8.749 8.749 106.86 109.43 112.17
Site moments in Bohr magnetons follow the coordinates.
Fractional coordinates of all 18 atoms:
La1 0.531 0.715 0.817  -0.12
La2 0.469 0.285 0.183  -0.12
La3 0.102 0.285 0.817  -0.12
La4 0.898 0.715 0.183  -0.12
La5 0.795 0.773 0.568  -0.09
La6 0.205 0.227 0.432  -0.09
La7 0.205 0.773 0.977  -0.09
La8 0.795 0.227 0.023  -0.09
La9 0.699 0.381 0.683  -0.12
La10 0.301 0.619 0.317  -0.12
La11 0.301 0.984 0.683  -0.12
La12 0.699 0.016 0.317  -0.12
Ga1 0.000 0.500 0.500  0.03
Ga2 0.000 0.000 0.000  0.01
Fe1 0.500 0.394 0.894  1.39
Fe2 0.500 0.606 0.106  1.39
Fe3 0.616 0.000 0.616  1.56
Fe4 0.384 0.000 0.384  1.56

=====

5.
The following is a DFT calculation (GGA-PBE) of a geometry-optimized La4GaFe structure.

Computed properties:
- DFT formation energy (eV per atom) = -0.163

Lattice parameters (Å, degrees): 6.214 8.372 8.372 115.84 104.74 104.74
Fractional coordinates of all 12 atoms:
La1 0.838 0.667 0.794
La2 0.079 0.933 0.303
La3 0.662 0.206 0.333
La4 0.421 0.697 0.067
La5 0.579 0.303 0.933
La6 0.338 0.794 0.667
La7 0.921 0.067 0.697
La8 0.162 0.333 0.206
Ga1 0.750 0.624 0.376
Ga2 0.250 0.376 0.624
Fe1 0.250 0.993 0.007
Fe2 0.750 0.007 0.993

=====

6.
The following is a DFT calculation (GGA-PBE) of a geometry-optimized La2GaFe structure.

Computed properties:
- DFT formation energy (eV per atom) = 0.376

Lattice parameters (Å, degrees): 3.421 3.421 10.159 80.31 80.31 60.00
Site moments in Bohr magnetons follow the coordinates.
Fractional coordinates of all 4 atoms:
Fe1 0.000 0.000 0.000  1.85
Ga1 0.500 0.500 0.500  0.03
La1 0.081 0.081 0.756  -0.10
La2 0.919 0.919 0.244  -0.10

=====

7.
The following is a DFT calculation (GGA-PBE) of a geometry-optimized LaGa8Fe4 structure.

Computed properties:
- DFT formation energy (eV per atom) = -0.273

Lattice parameters (Å, degrees): 5.077 6.759 6.759 81.89 67.94 67.94
Site moments in Bohr magnetons follow the coordinates.
Fractional coordinates of all 13 atoms:
La1 0.000 0.000 0.000  -0.06
Ga1 0.000 0.344 0.656  -0.04
Ga2 0.000 0.656 0.344  -0.04
Ga3 0.344 0.656 0.656  -0.04
Ga4 0.656 0.344 0.344  -0.04
Ga5 0.500 0.771 0.229  -0.05
Ga6 0.500 0.229 0.771  -0.05
Ga7 0.271 0.229 0.229  -0.05
Ga8 0.729 0.771 0.771  -0.05
Fe1 0.000 0.000 0.500  1.78
Fe2 0.500 0.000 0.500  1.78
Fe3 0.000 0.500 0.000  1.78
Fe4 0.500 0.500 0.000  1.78

=====

8.
The following is a DFT calculation (GGA-PBE) of a geometry-optimized LaGaFe2 structure.

Computed properties:
- DFT formation energy (eV per atom) = 0.192

Lattice parameters (Å, degrees): 4.552 4.552 9.217 75.70 75.70 90.00
Site moments in Bohr magnetons follow the coordinates.
Fractional coordinates of all 8 atoms:
Fe1 0.373 0.125 0.250  2.29
Fe2 0.377 0.625 0.250  2.30
Fe3 0.375 0.627 0.750  2.19
Fe4 0.875 0.623 0.750  2.20
Ga1 0.500 0.500 0.000  -0.10
Ga2 0.250 0.750 0.500  -0.10
La1 0.000 0.000 0.000  -0.19
La2 0.750 0.250 0.500  -0.19

=====

9.
The following is a DFT calculation (GGA-PBE) of a geometry-optimized LaMgGa2Fe structure.

Computed properties:
- offset from the most stable computed form (eV/atom) = 1.293
- DFT formation energy (eV per atom) = 1.001

Lattice parameters (Å, degrees): 5.712 4.485 5.712 90.00 90.00 90.00
Fractional coordinates of all 5 atoms:
Mg1 0.500 0.500 0.500
Fe1 0.000 0.500 0.000
Ga1 0.000 0.000 0.500
Ga2 0.500 0.000 0.000
La1 0.000 0.000 0.000

=====

10.
The following is a DFT calculation (GGA-PBE) of a geometry-optimized LaMgGa2Fe structure.

Computed properties:
- offset from the most stable computed form (eV/atom) = 0.000
- DFT formation energy (eV per atom) = -0.292

Lattice parameters (Å, degrees): 4.640 4.640 4.756 90.00 90.00 90.00
Site moments in Bohr magnetons follow the coordinates.
Fractional coordinates of all 5 atoms:
Mg1 0.000 0.000 0.500  0.00
Fe1 0.000 0.000 0.000  0.16
Ga1 0.000 0.500 0.000  -0.01
Ga2 0.500 0.000 0.000  -0.01
La1 0.500 0.500 0.500  0.01

=====

11.
The following is a DFT calculation (GGA-PBE) of a geometry-optimized La2MgGaFe structure.

Computed properties:
- DFT formation energy (eV per atom) = -0.147

Lattice parameters (Å, degrees): 5.230 5.230 4.799 90.00 90.00 90.00
Fractional coordinates of all 5 atoms:
Mg1 0.500 0.500 0.500
Fe1 0.000 0.000 0.000
Ga1 0.000 0.000 0.500
La1 0.000 0.500 0.000
La2 0.500 0.000 0.000

=====

12.
The following is a DFT calculation (GGA-PBE) of a geometry-optimized La2GaFeN structure.

Computed properties:
- energy relative to the elements, uncorrected (eV per atom) = -0.659

Lattice parameters (Å, degrees): 5.329 5.329 3.629 90.00 90.00 90.00
Site moments in Bohr magnetons follow the coordinates.
Fractional coordinates of all 5 atoms:
N1 0.000 0.000 0.000  0.00
Fe1 0.000 0.000 0.500  1.07
Ga1 0.500 0.500 0.500  0.01
La1 0.000 0.500 0.000  -0.05
La2 0.500 0.000 0.000  -0.05

=====

In the order shown, the computed DOS at the Fermi energy values come out to 0.662, 0.683, 1.178, 1.214, 1.125, 1.088, 0.639, 1.758, 1.046, 0.607, 1.005, 0.606 states/eV/atom.